# Tm3CdHg

A geometry-optimized Tm3CdHg structure (PBE, the Alexandria database).

Output
* crystal system: orthorhombic
* DOS at the Fermi energy: 23.82 states/eV/cell
* total moment: 0.013 μB/atom
* calculated formation energy: -293 meV/atom

Cell and atoms, written as CIF:
```
data_Tm3CdHg
_cell_length_a 5.0918
_cell_length_b 20.3018
_cell_length_c 5.0912
_cell_angle_alpha 90.00
_cell_angle_beta 90.00
_cell_angle_gamma 90.00
_space_group_name_H-M_alt 'C m c m'
_space_group_IT_number 63
_space_group_name_Hall '-C 2c 2'
loop_
_atom_site_label
_atom_site_type_symbol
_atom_site_fract_x
_atom_site_fract_y
_atom_site_fract_z
Tm1 Tm 0.0000 0.0593 0.2500
Tm2 Tm 0.0000 0.2495 0.2500
Tm3 Tm 0.0000 0.4385 0.2500
Cd1 Cd 0.0000 0.1554 0.7500
Hg1 Hg 0.0000 0.3417 0.7500
```


# TmCd12Hg6

A geometry-optimized TmCd12Hg6 structure (PBE, the Alexandria database).

Output
* crystal system: trigonal
* DOS at the Fermi energy: 20.06 states/eV/cell
* total moment: 0.000 μB/atom
* calculated formation energy: -30 meV/atom

Cell and atoms, written as CIF:
```
data_TmCd12Hg6
_cell_length_a 11.1169
_cell_length_b 11.1169
_cell_length_c 13.1505
_cell_angle_alpha 90.00
_cell_angle_beta 90.00
_cell_angle_gamma 120.00
_space_group_name_H-M_alt 'R -3'
_space_group_IT_number 148
_space_group_name_Hall '-R 3'
loop_
_atom_site_label
_atom_site_type_symbol
_atom_site_fract_x
_atom_site_fract_y
_atom_site_fract_z
Tm1 Tm 0.0000 0.0000 0.0000
Cd1 Cd 0.0899 0.1890 0.7921
Cd2 Cd 0.1005 0.8963 0.4009
Hg1 Hg 0.0315 0.5113 0.7319
```


# TmCd3Hg

A geometry-optimized TmCd3Hg structure (PBE, the Alexandria database).

Output
* crystal system: orthorhombic
* DOS at the Fermi energy: 3.60 states/eV/cell
* total moment: 0.000 μB/atom
* calculated formation energy: -137 meV/atom

Cell and atoms, written as CIF:
```
data_TmCd3Hg
_cell_length_a 4.8073
_cell_length_b 7.1071
_cell_length_c 6.9489
_cell_angle_alpha 90.00
_cell_angle_beta 90.00
_cell_angle_gamma 90.00
_space_group_name_H-M_alt 'P m m n'
_space_group_IT_number 59
loop_
_space_group_symop_operation_xyz
'x,y,z'
'-x,-y,-z'
'-x+1/2,-y+1/2,z'
'x+1/2,y+1/2,-z'
'x+1/2,-y,-z'
'-x+1/2,y,z'
'-x,y+1/2,-z'
'x,-y+1/2,z'
loop_
_atom_site_label
_atom_site_type_symbol
_atom_site_fract_x
_atom_site_fract_y
_atom_site_fract_z
Tm1 Tm 0.2500 0.2500 0.2346
Cd1 Cd 0.2500 0.0511 0.7419
Cd2 Cd 0.2500 0.7500 0.4554
Hg1 Hg 0.2500 0.7500 0.0430
```